[1]
Density functional theory data (GGA-PBE) for a relaxed LiSnF crystal.

Unit cell a=2.861 b=2.861 c=8.021 alpha=100.27 beta=100.27 gamma=90.00
Atoms (fractional coordinates):
F 0.243 0.243 0.486
Sn 0.013 0.013 0.027
Li 0.744 0.744 0.487

Computed properties:
- ΔE_f (raw) (eV per formula unit) = -4.97
- total energy (eV per atom) = -4.252
- theoretical density (g/cm3) = 3.780

***

[2]
Density functional theory data (GGA-PBE) for a relaxed PrTh4Co4 crystal.

Unit cell a=5.574 b=8.744 c=8.744 alpha=90.00 beta=90.00 gamma=90.00
Atoms (fractional coordinates):
Pr 0.000 0.000 0.000
Pr 0.500 0.500 0.500
Th 0.440 0.311 0.909
Th 0.940 0.591 0.811
Th 0.440 0.689 0.091
Th 0.060 0.189 0.591
Th 0.560 0.909 0.689
Th 0.060 0.811 0.409
Th 0.940 0.409 0.189
Th 0.560 0.091 0.311
Co 0.571 0.798 0.369
Co 0.571 0.202 0.631
Co 0.071 0.869 0.702
Co 0.929 0.298 0.869
Co 0.929 0.702 0.131
Co 0.429 0.369 0.202
Co 0.429 0.631 0.798
Co 0.071 0.131 0.298

Computed properties:
- total energy (eV per atom) = -7.199
- theoretical density (g/cm3) = 10.169